Entry from Alexandria via LeMat-Bulk: a geometry-optimized CrSbS2Cl structure (PBE-GGA).

POSCAR file:
```
CrSbS2Cl
1.0
5.117 0.000 0.000
0.000 4.111 0.000
0.000 0.000 5.117
S Cl Sb Cr
2 1 1 1
Direct
0.000 0.000 0.500 S
0.500 0.000 0.000 S
0.000 0.000 0.000 Cl
0.500 0.500 0.500 Sb
0.000 0.500 0.000 Cr
```

Computed properties:
- ΔE to the lowest computed polymorph: 28.448 kcal/mol of atoms
- Uncorrected formation energy: 1.1270 eV per atom
- Space group: P4/mmm, No. 123
- D(E_F): 6.0 states/eV per cell

Entry from Alexandria via LeMat-Bulk: a geometry-optimized CrSbS2Cl structure (PBE-GGA).

POSCAR file:
```
CrSbS2Cl
1.0
-0.006 0.230 -4.760
1.519 -4.512 -0.220
-4.296 -1.443 -0.064
Cl S Sb Cr
1 2 1 1
Direct
0.000 0.000 0.500 Cl
0.500 0.000 0.000 S
0.000 0.500 0.000 S
0.500 0.500 0.500 Sb
0.000 0.000 0.000 Cr
```

Computed properties:
- ΔE to the lowest computed polymorph: 0.000 kcal/mol of atoms
- Uncorrected formation energy: -0.1066 eV per atom
- Space group: P4/mmm, No. 123
- D(E_F): 1.9 states/eV per cell

Entry from Alexandria via LeMat-Bulk: a geometry-optimized Sc2CrSCl structure (PBE-GGA).

POSCAR file:
```
Sc2CrSCl
1.0
4.880 0.000 0.000
0.000 3.978 0.000
0.000 0.000 4.880
Cr Sc Cl S
1 2 1 1
Direct
0.000 0.500 0.000 Cr
0.000 0.000 0.500 Sc
0.500 0.000 0.000 Sc
0.000 0.000 0.000 Cl
0.500 0.500 0.500 S
```

Computed properties:
- Uncorrected formation energy: -0.0077 eV per atom
- Space group: P4/mmm, No. 123
- D(E_F): 5.2 states/eV per cell

Entry from Alexandria via LeMat-Bulk: a geometry-optimized CrSeS2Cl structure (PBE-GGA).

POSCAR file:
```
CrSeS2Cl
1.0
4.889 0.000 0.000
0.000 4.889 0.000
0.000 0.000 4.779
Cr Cl S Se
1 1 2 1
Direct
0.500 0.500 0.500 Cr
0.000 0.000 0.500 Cl
0.000 0.500 0.000 S
0.500 0.000 0.000 S
0.000 0.000 0.000 Se
```

Computed properties:
- ΔE to the lowest computed polymorph: 7.542 kcal/mol of atoms
- Uncorrected formation energy: 0.5753 eV per atom
- Space group: P4/mmm, No. 123
- D(E_F): 3.4 states/eV per cell

Entry from Alexandria via LeMat-Bulk: a geometry-optimized CrSeSCl2 structure (PBE-GGA).

POSCAR file:
```
CrSeSCl2
1.0
-1.100 -3.705 2.391
-2.340 -1.598 -3.553
3.807 -2.130 -1.549
S Cl Se Cr
1 2 1 1
Direct
0.000 0.000 0.500 S
0.500 0.000 0.000 Cl
0.000 0.500 0.000 Cl
0.500 0.500 0.500 Se
0.000 0.000 0.000 Cr
```

Computed properties:
- ΔE to the lowest computed polymorph: 0.000 kcal/mol of atoms
- Uncorrected formation energy: 0.1725 eV per atom
- Space group: P4/mmm, No. 123
- D(E_F): 5.9 states/eV per cell

Entry from Alexandria via LeMat-Bulk: a geometry-optimized CrSeS2Cl structure (PBE-GGA).

POSCAR file:
```
CrSeS2Cl
1.0
-1.444 -0.660 4.224
-3.775 -1.895 -1.586
2.018 -4.065 0.055
S Se Cr Cl
2 1 1 1
Direct
0.500 0.000 0.000 S
0.000 0.500 0.000 S
0.500 0.500 0.500 Se
0.000 0.000 0.000 Cr
0.000 0.000 0.500 Cl
```

Computed properties:
- ΔE to the lowest computed polymorph: 0.000 kcal/mol of atoms
- Uncorrected formation energy: 0.2483 eV per atom
- Space group: P4/mmm, No. 123
- D(E_F): 5.0 states/eV per cell